Entry 1:
Computed, not measured: a relaxed Cu2ReOs crystal at the PBE level of DFT.

a = 2.7920 Å, b = 2.7920 Å, c = 6.9555 Å
α = 90.00°, β = 90.00°, γ = 90.00°
With the nearest neighbours (Å) after each atom.
Space group P4mm (No. 99)
Inequivalent atoms, fractional coordinates:
Cu (0.0000, 0.0000, 0.0000) x1  8 Cu 2.50-2.79, 4 Re 2.72
Cu (0.5000, 0.5000, 0.2216) x1  8 Cu 2.50-2.79, 4 Os 2.70
Re (0.5000, 0.5000, 0.7316) x1  4 Os 2.61, 4 Cu 2.72, 4 Re 2.79
Os (0.0000, 0.0000, 0.4855) x1  4 Re 2.61, 4 Cu 2.70, 4 Os 2.79

## Properties
* ΔH_f (0 K): 218 meV per atom
* E_tot: -31.00 eV/f.u.

=====

Entry 2:
Computed, not measured: a relaxed TaCu2ReOs crystal at the PBE level of DFT.

a = 4.5461 Å, b = 4.5461 Å, c = 4.7482 Å
α = 90.00°, β = 90.00°, γ = 90.00°
With the nearest neighbours (Å) after each atom.
Space group P4/mmm (No. 123)
Inequivalent atoms, fractional coordinates:
Ta (0.0000, 0.0000, 0.0000) x1  2 Re 2.37
Cu (0.0000, 0.5000, 0.5000) x2  2 Re 2.27
Re (0.0000, 0.0000, 0.5000) x1  4 Cu 2.27, 2 Ta 2.37
Os (0.5000, 0.5000, 0.0000) x1  4 Ta 3.21, 8 Cu 3.29

## Properties
* ΔH_f (0 K): 2028 meV per atom
* E_tot: -33.58 eV/f.u.

=====

Entry 3:
Computed, not measured: a relaxed V2CuReOs crystal at the PBE level of DFT.

a = 4.2389 Å, b = 4.2389 Å, c = 4.4597 Å
α = 90.00°, β = 90.00°, γ = 90.00°
With the nearest neighbours (Å) after each atom.
Space group P4/mmm (No. 123)
Inequivalent atoms, fractional coordinates:
V (0.0000, 0.5000, 0.0000) x2  2 Cu 2.12
Cu (0.0000, 0.0000, 0.0000) x1  4 V 2.12, 2 Re 2.23
Re (0.0000, 0.0000, 0.5000) x1  2 Cu 2.23
Os (0.5000, 0.5000, 0.5000) x1  4 Re 3.00, 8 V 3.08

## Properties
* ΔH_f (0 K): 1591 meV per atom
* E_tot: -38.06 eV/f.u.

=====

Entry 4:
Computed, not measured: a relaxed ZnCuRe2Os crystal at the PBE level of DFT.

a = 4.4859 Å, b = 4.4859 Å, c = 4.1348 Å
α = 90.00°, β = 90.00°, γ = 90.00°
With the nearest neighbours (Å) after each atom.
Space group P4/mmm (No. 123)
Inequivalent atoms, fractional coordinates:
Zn (0.0000, 0.0000, 0.0000) x1  2 Cu 2.07
Cu (0.0000, 0.0000, 0.5000) x1  2 Zn 2.07, 4 Re 2.24
Re (0.0000, 0.5000, 0.5000) x2  2 Cu 2.24
Os (0.5000, 0.5000, 0.0000) x1  8 Re 3.05, 4 Zn 3.17

## Properties
* ΔH_f (0 K): 1892 meV per atom
* E_tot: -32.04 eV/f.u.

=====

Entry 5:
Computed, not measured: a relaxed ZnCuRe2Os crystal at the PBE level of DFT.

a = 4.7207 Å, b = 4.7207 Å, c = 4.6838 Å
α = 90.00°, β = 90.00°, γ = 90.00°
With the nearest neighbours (Å) after each atom.
Space group P4/mmm (No. 123)
Inequivalent atoms, fractional coordinates:
Zn (0.0000, 0.0000, 0.0000) x1  8 Re 3.33, 4 Cu 3.34
Cu (0.5000, 0.5000, 0.0000) x1  2 Os 2.34
Re (0.0000, 0.5000, 0.5000) x2  2 Os 2.36
Os (0.5000, 0.5000, 0.5000) x1  2 Cu 2.34, 4 Re 2.36

## Properties
* ΔH_f (0 K): 1898 meV per atom
* E_tot: -32.01 eV/f.u.

=====

Entry 6:
Computed, not measured: a relaxed Cu2OsRh crystal at the PBE level of DFT.

a = 2.8367 Å, b = 4.3375 Å, c = 8.5419 Å
α = 90.00°, β = 90.00°, γ = 90.00°
With the nearest neighbours (Å) after each atom.
Space group Imm2 (No. 44)
Inequivalent atoms, fractional coordinates:
Cu (0.0000, 0.0000, 0.0000) x2  2 Cu 2.43, 4 Rh 2.59, 2 Os 2.61
Cu (0.0000, 0.5000, 0.2683) x2  2 Cu 2.43, 4 Os 2.59, 2 Rh 2.61
Os (0.0000, 0.5000, 0.7558) x2  6 Cu 2.59-2.61, 2 Rh 2.61, 2 Os 2.84
Rh (0.0000, 0.0000, 0.5120) x2  6 Cu 2.59-2.61, 2 Os 2.61, 2 Rh 2.84

## Properties
* ΔH_f (0 K): 292 meV per atom
* E_tot: -25.61 eV/f.u.

=====

Entry 7:
Computed, not measured: a relaxed Cu2OsRh crystal at the PBE level of DFT.

a = 2.6743 Å, b = 2.6743 Å, c = 25.8656 Å
α = 90.00°, β = 90.00°, γ = 120.00°
With the nearest neighbours (Å) after each atom.
Space group R-3m (No. 166, hexagonal axes)
Inequivalent atoms, fractional coordinates:
Cu (0.0000, 0.0000, 0.2499) x6  3 Rh 2.65, 3 Os 2.65, 6 Cu 2.67
Os (0.0000, 0.0000, 0.0000) x3  6 Cu 2.65, 6 Os 2.67
Rh (0.0000, 0.0000, 0.5000) x3  6 Cu 2.65, 6 Rh 2.67

## Properties
* ΔH_f (0 K): 193 meV per atom
* E_tot: -26.00 eV/f.u.

=====

Entry 8:
Computed, not measured: a relaxed Cu2OsRh crystal at the PBE level of DFT.

a = 2.6263 Å, b = 4.4549 Å, c = 4.6345 Å
α = 90.00°, β = 91.22°, γ = 90.00°
With the nearest neighbours (Å) after each atom.
Space group P2/m (No. 10)
Inequivalent atoms, fractional coordinates:
Cu (0.2384, 0.0000, 0.2473) x2  6 Cu 2.59-2.70, 2 Rh 2.60, 2 Os 2.60
Os (0.5000, 0.5000, 0.0000) x1  4 Cu 2.60, 2 Os 2.63, 4 Rh 2.64-2.69
Rh (0.0000, 0.5000, 0.5000) x1  4 Cu 2.60, 2 Rh 2.63, 4 Os 2.64-2.69

## Properties
* ΔH_f (0 K): 305 meV per atom
* E_tot: -25.55 eV/f.u.

=====

Entry 9:
Computed, not measured: a relaxed CuOs2Rh crystal at the PBE level of DFT.

a = 5.6047 Å, b = 5.6047 Å, c = 10.3482 Å
α = 90.00°, β = 90.00°, γ = 90.00°
With the nearest neighbours (Å) after each atom.
Space group I-42d (No. 122)
Inequivalent atoms, fractional coordinates:
Cu (0.0000, 0.0000, 0.0000) x4  4 Os 2.36
Os (0.2495, 0.2500, 0.1250) x8  2 Cu 2.36, 2 Rh 2.37
Rh (0.0000, 0.0000, 0.5000) x4  4 Os 2.37

## Properties
* ΔH_f (0 K): 1770 meV per atom
* E_tot: -26.83 eV/f.u.

=====

Entry 10:
Computed, not measured: a relaxed CuOs3Rh crystal at the PBE level of DFT.

a = 4.3777 Å, b = 4.3777 Å, c = 4.3777 Å
α = 90.00°, β = 90.00°, γ = 90.00°
With the nearest neighbours (Å) after each atom.
Space group Pm-3m (No. 221)
Inequivalent atoms, fractional coordinates:
Cu (0.0000, 0.0000, 0.0000) x1  6 Os 2.19
Os (0.0000, 0.0000, 0.5000) x3  2 Cu 2.19
Rh (0.5000, 0.5000, 0.5000) x1  12 Os 3.10

## Properties
* ΔH_f (0 K): 2115 meV per atom
* E_tot: -34.56 eV/f.u.

=====

Entry 11:
Computed, not measured: a relaxed Cu2OsRh crystal at the PBE level of DFT.

a = 2.7057 Å, b = 4.5255 Å, c = 8.8875 Å
α = 90.00°, β = 90.00°, γ = 90.00°
With the nearest neighbours (Å) after each atom.
Space group Cmmm (No. 65)
Inequivalent atoms, fractional coordinates:
Cu (0.0000, 0.0000, 0.2482) x4  2 Rh 2.59, 2 Os 2.61, 6 Cu 2.64-2.71
Os (0.0000, 0.5000, 0.5000) x2  4 Cu 2.61, 6 Os 2.64-2.71
Rh (0.0000, 0.5000, 0.0000) x2  4 Cu 2.59, 6 Rh 2.64-2.71

## Properties
* ΔH_f (0 K): 314 meV per atom
* E_tot: -25.52 eV/f.u.

=====

Entry 12:
Computed, not measured: a relaxed Cu2OsRh crystal at the PBE level of DFT.

a = 2.7010 Å, b = 4.5463 Å, c = 8.8961 Å
α = 90.00°, β = 90.00°, γ = 90.00°
With the nearest neighbours (Å) after each atom.
Space group Cmm2 (No. 35)
Inequivalent atoms, fractional coordinates:
Cu (0.0000, 0.0000, 0.0000) x2  8 Cu 2.49-2.70, 2 Os 2.64
Cu (0.0000, 0.5000, 0.2346) x2  8 Cu 2.49-2.70, 2 Rh 2.63
Os (0.0000, 0.5000, 0.7457) x2  2 Cu 2.64, 6 Os 2.64-2.70, 2 Rh 2.66
Rh (0.0000, 0.0000, 0.4876) x2  2 Cu 2.63, 6 Rh 2.64-2.70, 2 Os 2.66

## Properties
* ΔH_f (0 K): 298 meV per atom
* E_tot: -25.58 eV/f.u.